Model w:
The following is a PBE-GGA calculation of a geometry-optimized Ce2EuAu structure, from the Alexandria database.

a = 5.3255 Å, b = 5.3255 Å, c = 5.3255 Å
α = 60.00°, β = 60.00°, γ = 60.00°
With the nearest neighbours (Å) after each atom.
Sites, in units of the cell vectors:
Ce  0.2500  0.2500  0.2500  4 Au 3.26, 4 Eu 3.26
Ce  0.7500  0.7500  0.7500  4 Eu 3.26, 4 Au 3.26
Eu  0.0000  0.0000  0.0000  8 Ce 3.26
Au  0.5000  0.5000  0.5000  8 Ce 3.26

Properties
- space group = Fm-3m (225)
- theoretical density (g/cm³) = 9.8
- total moment (μB per atom) = 2.544

Model x:
The following is a PBE-GGA calculation of a geometry-optimized Ce2EuAu structure, from the Alexandria database.

a = 3.8891 Å, b = 3.8891 Å, c = 7.9534 Å
α = 90.00°, β = 90.00°, γ = 90.00°
With the nearest neighbours (Å) after each atom.
Sites, in units of the cell vectors:
Ce  0.0000  0.0000  0.1878  1 Ce 2.99, 4 Au 3.13
Ce  0.0000  0.0000  0.8122  1 Ce 2.99, 4 Au 3.13
Eu  0.5000  0.5000  0.5000  8 Ce 3.71, 4 Eu 3.89, 2 Au 3.98
Au  0.5000  0.5000  0.0000  8 Ce 3.13

Properties
- space group = P4/mmm (123)
- theoretical density (g/cm³) = 8.7
- total moment (μB per atom) = 1.668

Sorted by energy, starting with the most stable: model x, model w.

Model w:
The following is a PBE-GGA calculation of a geometry-optimized CeEuAu structure, from the Alexandria database.

a = 6.9972 Å, b = 6.9972 Å, c = 6.9972 Å
α = 148.89°, β = 148.89°, γ = 44.57°
With the nearest neighbours (Å) after each atom.
Sites, in units of the cell vectors:
Ce  0.0000  0.0000  0.0000  4 Au 3.11
Eu  0.7271  0.7271  0.0000  4 Au 3.27, 1 Ce 3.53
Au  0.3750  0.3750  0.0000  4 Ce 3.11, 4 Eu 3.27

Properties
- space group = I4mm (107)
- theoretical density (g/cm³) = 8.9
- total moment (μB per atom) = 2.015

Model x:
The following is a PBE-GGA calculation of a geometry-optimized CeEuAu structure, from the Alexandria database.

a = 4.9969 Å, b = 4.9969 Å, c = 3.8099 Å
α = 90.00°, β = 90.00°, γ = 120.00°
With the nearest neighbours (Å) after each atom.
Sites, in units of the cell vectors:
Ce  0.0000  0.0000  0.0000  3 Au 3.08, 3 Eu 3.25
Eu  0.6667  0.3333  0.3945  3 Au 3.14, 3 Ce 3.25
Au  0.3333  0.6667  0.7183  3 Ce 3.08, 3 Eu 3.14

Properties
- space group = P3m1 (156)
- theoretical density (g/cm³) = 9.9
- total moment (μB per atom) = 2.701

Sorted by energy, starting with the most stable: model w, model x.

Model w:
The following is a PBE-GGA calculation of a geometry-optimized CeAuF structure, from the Alexandria database.

a = 8.3535 Å, b = 8.0304 Å, c = 6.9022 Å
α = 67.54°, β = 62.67°, γ = 49.78°
With the nearest neighbours (Å) after each atom.
Sites, in units of the cell vectors:
Ce  0.1097  0.6403  0.1097  2 F 2.30
Ce  0.3597  0.8903  0.3597  2 F 2.30
Ce  0.6403  0.1097  0.6403  2 F 2.30
Ce  0.8903  0.3597  0.8903  2 F 2.30
Au  0.2681  0.2681  0.4819  1 Au 2.81, 4 Ce 2.98-3.07
Au  0.4819  0.4819  0.2681  1 Au 2.81, 4 Ce 2.98-3.07
Au  0.5181  0.5181  0.7319  1 Au 2.81, 4 Ce 2.98-3.07
Au  0.7319  0.7319  0.5181  1 Au 2.81, 4 Ce 2.98-3.07
F  0.0000  0.0000  0.0000  2 Ce 2.30
F  0.0000  0.0000  0.5000  2 Ce 2.30
F  0.0000  0.5000  0.0000  2 Ce 2.30
F  0.5000  0.0000  0.0000  2 Ce 2.30

Properties
- space group = Fddd (70)
- theoretical density (g/cm³) = 7.6
- total moment (μB per atom) = 0.378

Model x:
The following is a PBE-GGA calculation of a geometry-optimized CeAuF structure, from the Alexandria database.

a = 4.1240 Å, b = 4.1240 Å, c = 4.3850 Å
α = 90.00°, β = 90.00°, γ = 120.00°
With the nearest neighbours (Å) after each atom.
Sites, in units of the cell vectors:
Ce  0.0000  0.0000  0.0000  3 F 2.38
Au  0.6667  0.3333  0.5000  6 Ce 3.24, 6 F 3.24
F  0.3333  0.6667  0.0000  3 Ce 2.38

Properties
- space group = P-6m2 (187)
- theoretical density (g/cm³) = 9.2
- total moment (μB per atom) = 0.360

Sorted by energy, starting with the most stable: model x, model w.

Model w:
The following is a PBE-GGA calculation of a geometry-optimized Ce3GaAu structure, from the Alexandria database.

a = 8.4155 Å, b = 8.4155 Å, c = 5.2210 Å
α = 90.00°, β = 90.00°, γ = 135.36°
With the nearest neighbours (Å) after each atom.
Sites, in units of the cell vectors:
Ce  0.0000  0.0000  0.0000  2 Ce 2.61
Ce  0.0000  0.0000  0.5000  2 Ce 2.61
Ce  0.1316  0.4309  0.7500  1 Ce 2.80, 1 Ga 3.04
Ce  0.4309  0.1316  0.2500  1 Ce 2.80, 1 Ga 3.04
Ce  0.5691  0.8684  0.7500  1 Ce 2.80, 1 Ga 3.04
Ce  0.8684  0.5691  0.2500  1 Ce 2.80, 1 Ga 3.04
Ga  0.1768  0.8232  0.7500  8 Ce 3.04-3.20
Ga  0.8232  0.1768  0.2500  8 Ce 3.04-3.20
Au  0.4540  0.5460  0.2500  2 Au 2.98
Au  0.5460  0.4540  0.7500  2 Au 2.98

Properties
- space group = Cmcm (63)
- theoretical density (g/cm³) = 8.8
- total moment (μB per atom) = 0.411

Model x:
The following is a PBE-GGA calculation of a geometry-optimized Ce3GaAu structure, from the Alexandria database.

a = 6.0895 Å, b = 6.0895 Å, c = 8.8817 Å
α = 103.66°, β = 103.66°, γ = 48.91°
With the nearest neighbours (Å) after each atom.
Sites, in units of the cell vectors:
Ce  0.0243  0.0243  0.3281  1 Ce 2.74, 1 Au 3.01
Ce  0.2294  0.2294  0.7113  1 Ce 2.74, 3 Ga 3.03-3.07
Ce  0.4330  0.4330  0.1276  3 Ce 3.01-3.10, 3 Au 3.03-3.09, 1 Ga 3.19
Ce  0.5670  0.5670  0.8724  3 Ce 3.01-3.10, 3 Au 3.03-3.09, 1 Ga 3.19
Ce  0.7706  0.7706  0.2887  1 Ce 2.74, 3 Ga 3.03-3.07
Ce  0.9757  0.9757  0.6719  1 Ce 2.74, 1 Au 3.01
Ga  0.3762  0.3762  0.4622  1 Ga 2.65
Ga  0.6238  0.6238  0.5378  1 Ga 2.65
Au  0.1452  0.1452  0.0607  6 Ce 3.01-3.31, 1 Au 3.12
Au  0.8548  0.8548  0.9393  6 Ce 3.01-3.31, 1 Au 3.12

Properties
- space group = C2/m (12)
- theoretical density (g/cm³) = 9.5
- total moment (μB per atom) = 0.247

Sorted by energy, starting with the most stable: model x, model w.